[1]
A plane-wave DFT calculation with GGA-PBE was carried out for crystalline SiHgMo at its relaxed geometry.

abc: 5.5122 5.5122 5.5122
angles: 145.54 145.57 49.51
Fractional coordinates of all 3 atoms:
1 Mo 0.2968 0.2968 0.0000
2 Hg 0.9974 0.9974 0.0000
3 Si 0.7058 0.7058 0.0000

Values from the calculation:
Total magnetic moment   0.0 μB per cell
Offset from the most stable computed form   286 meV/atom
Uncorrected energy   -5.211 eV/atom
ΔE_f (raw)   0.308 eV per atom

=====

[2]
A plane-wave DFT calculation with GGA-PBE was carried out for crystalline Sb2WAu at its relaxed geometry.

abc: 8.6527 8.6527 8.6527
angles: 22.70 22.70 22.70
Fractional coordinates of all 4 atoms:
1 Au 0.2500 0.2500 0.2500
2 W 0.7500 0.7500 0.7500
3 Sb 0.0050 0.0050 0.0050
4 Sb 0.4950 0.4950 0.4950

Values from the calculation:
Total magnetic moment   0.0 μB per cell
Offset from the most stable computed form   0 meV/atom
Uncorrected energy   -5.789 eV/atom
ΔE_f (raw)   0.329 eV per atom

=====

[3]
A plane-wave DFT calculation with GGA-PBE was carried out for crystalline RbIn6Hg2 at its relaxed geometry.

abc: 4.7745 8.5245 8.5245
angles: 61.77 73.21 73.21
Fractional coordinates of all 9 atoms:
1 In 0.3002 0.3822 0.0207
2 In 0.6998 0.9793 0.6178
3 In 0.6998 0.6178 0.9793
4 In 0.3002 0.0207 0.3822
5 In 0.5000 0.6727 0.3273
6 In 0.5000 0.3273 0.6727
7 Rb 0.0000 0.0000 0.0000
8 Hg 0.1115 0.3871 0.3871
9 Hg 0.8885 0.6129 0.6129

Values from the calculation:
Total magnetic moment   0.0 μB per cell
Offset from the most stable computed form   86 meV/atom
Uncorrected energy   -1.987 eV/atom
Energy of formation   1.27 kJ per mole of atoms

=====

[4]
A plane-wave DFT calculation with GGA-PBE was carried out for crystalline Mg2SnPd4Pb at its relaxed geometry.

abc: 4.6240 4.6240 8.1206
angles: 73.46 73.46 60.00
Fractional coordinates of all 8 atoms:
1 Pd 0.6185 0.6185 0.1445
2 Pd 0.1287 0.1287 0.6140
3 Pd 0.3815 0.3815 0.8555
4 Pd 0.8713 0.8713 0.3860
5 Mg 0.7497 0.7497 0.7510
6 Mg 0.2503 0.2503 0.2490
7 Pb 0.0000 0.0000 0.0000
8 Sn 0.5000 0.5000 0.5000

Values from the calculation:
Total magnetic moment   0.0 μB per cell
Uncorrected energy   -4.528 eV/atom
Energy of formation   -54.87 kJ per mole of atoms